Record 1
# PBE AcY3Ho6, relaxed
data_AcY3Ho6
_space_group_name_H-M_alt 'P 1'
_space_group_IT_number 1
_space_group_name_Hall 'P 1'
_cell_length_a 9.863
_cell_length_b 9.863
_cell_length_c 6.964
_cell_angle_alpha 44.91
_cell_angle_beta 44.91
_cell_angle_gamma 60.00
loop_
_atom_site_label
_atom_site_type_symbol
_atom_site_fract_x
_atom_site_fract_y
_atom_site_fract_z
Ho1 Ho 0.065 0.400 0.799
Ho2 Ho 0.400 0.735 0.799
Y1 Y 0.161 0.161 0.518
Ac1 Ac 0.900 0.900 0.301
Y2 Y 0.638 0.638 0.086
Ho3 Ho 0.735 0.065 0.799
Ho4 Ho 0.245 0.901 0.299
Ho5 Ho 0.555 0.245 0.299
Ho6 Ho 0.901 0.555 0.299
Y3 Y 0.400 0.400 0.801
# **Symmetry**: R3
# **Calculated volume**: 338 Å³ per cell
# **Final energy**: -0.3501 Ry per atom
# **Formation energy from the elements**: 0.334 eV/atom
# **M_tot**: 0.0 μB/f.u.


Record 2
# PBE La3GaS5O, relaxed
data_La3GaS5O
_space_group_name_H-M_alt 'P 1'
_space_group_IT_number 1
_space_group_name_Hall 'P 1'
_cell_length_a 4.048
_cell_length_b 10.866
_cell_length_c 20.078
_cell_angle_alpha 90.00
_cell_angle_beta 90.00
_cell_angle_gamma 90.00
loop_
_atom_site_label
_atom_site_type_symbol
_atom_site_fract_x
_atom_site_fract_y
_atom_site_fract_z
S1 S 0.750 0.722 0.615
O1 O 0.750 0.075 0.458
S2 S 0.250 0.278 0.385
S3 S 0.750 0.585 0.879
S4 S 0.750 0.351 0.263
Ga1 Ga 0.250 0.793 0.289
La1 La 0.250 0.647 0.990
O2 O 0.250 0.925 0.542
S5 S 0.750 0.373 0.535
O3 O 0.750 0.575 0.042
S6 S 0.250 0.588 0.288
La2 La 0.750 0.853 0.490
La3 La 0.250 0.147 0.510
S7 S 0.750 0.085 0.621
S8 S 0.250 0.778 0.115
S9 S 0.250 0.915 0.379
La4 La 0.250 0.400 0.837
S10 S 0.250 0.088 0.212
Ga2 Ga 0.750 0.207 0.711
S11 S 0.750 0.912 0.788
S12 S 0.750 0.851 0.237
S13 S 0.250 0.649 0.737
S14 S 0.250 0.149 0.763
La5 La 0.750 0.100 0.337
O4 O 0.250 0.425 0.958
La6 La 0.750 0.353 0.010
S15 S 0.750 0.873 0.965
S16 S 0.750 0.222 0.885
Ga3 Ga 0.750 0.707 0.789
Ga4 Ga 0.250 0.293 0.211
La7 La 0.750 0.479 0.397
La8 La 0.750 0.979 0.103
S17 S 0.250 0.415 0.121
La9 La 0.750 0.600 0.163
La10 La 0.250 0.521 0.603
S18 S 0.250 0.627 0.465
S19 S 0.250 0.127 0.035
La11 La 0.250 0.900 0.663
S20 S 0.750 0.412 0.712
La12 La 0.250 0.021 0.897
# **Symmetry**: Pnma
# **Calculated volume**: 883 Å³ per cell
# **Uncorrected formation energy**: -2080 meV/atom
# **Final energy**: -0.4719 Ry per atom
# **M_tot**: 0.0 μB/f.u.


Record 3
# PBE KSi2Sb, relaxed
data_KSi2Sb
_space_group_name_H-M_alt 'P 1'
_space_group_IT_number 1
_space_group_name_Hall 'P 1'
_cell_length_a 4.657
_cell_length_b 3.110
_cell_length_c 6.934
_cell_angle_alpha 90.10
_cell_angle_beta 90.00
_cell_angle_gamma 90.00
loop_
_atom_site_label
_atom_site_type_symbol
_atom_site_fract_x
_atom_site_fract_y
_atom_site_fract_z
Sb1 Sb 0.500 0.001 0.803
K1 K 0.000 0.501 0.476
Si1 Si 0.000 0.996 0.037
Si2 Si 0.500 0.002 0.184
# **Symmetry**: Pm
# **Calculated volume**: 100 Å³ per cell
# **Uncorrected formation energy**: 240 meV/atom
# **Final energy**: -0.2776 Ry per atom
# **M_tot**: 0.0 μB/f.u.


Record 4
# PBE RbTlTe, relaxed
data_RbTlTe
_space_group_name_H-M_alt 'P 1'
_space_group_IT_number 1
_space_group_name_Hall 'P 1'
_cell_length_a 5.863
_cell_length_b 5.863
_cell_length_c 5.863
_cell_angle_alpha 60.00
_cell_angle_beta 60.00
_cell_angle_gamma 60.00
loop_
_atom_site_label
_atom_site_type_symbol
_atom_site_fract_x
_atom_site_fract_y
_atom_site_fract_z
Tl1 Tl 0.000 0.000 0.000
Rb1 Rb 0.500 0.500 0.500
Te1 Te 0.250 0.250 0.250
# **Symmetry**: F-43m
# **Calculated volume**: 143 Å³ per cell
# **Uncorrected formation energy**: -617 meV/atom
# **Final energy**: -0.2040 Ry per atom
# **M_tot**: 0.0 μB/f.u.


- Which formula does entry 3 have?
  KSi2Sb